[1]
4
Lattice="5.8851 0.0000 0.0000 0.0000 4.4863 2.5902 0.0000 0.0000 5.1803" Properties=species:S:1:pos:R:3 comment="TbTlCd2 (PBE, relaxed)" relative_energy_ev_per_atom=0.740 dft_energy_ev_per_atom=-1.729 spacegroup=P-6m2 n_ef_per_ev_atom=1.15 delta_e_f_ev_per_atom=0.48 pbc="T T T"
Tb 0.0000 0.0000 0.0000
Cd 2.9425 1.4954 2.5902
Cd 2.9425 0.0000 0.0000
Tl 2.9425 2.9909 5.1803

[2]
4
Lattice="-1.1615 -5.3869 0.6710 0.7706 -3.5083 -4.2327 2.5294 3.7868 3.1749" Properties=species:S:1:pos:R:3 comment="Li2HgAs (PBE, relaxed)" dft_energy_ev_per_atom=-2.525 spacegroup=Imm2 n_ef_per_ev_atom=0.17 delta_e_f_ev_per_atom=-0.33 pbc="T T T"
Hg 1.5509 -2.1151 -1.4316
Li -0.0025 -0.0566 -0.0226
Li 0.5913 -2.9080 1.0789
As -0.1967 -4.4763 -1.7923

[3]
8
Lattice="4.3331 0.0000 0.0000 2.1665 3.7525 0.0000 2.1665 1.2508 9.0916" Properties=species:S:1:pos:R:3 comment="NpAlZn4Ga2 (PBE, relaxed)" dft_energy_ev_per_atom=-3.425 spacegroup=R-3m n_ef_per_ev_atom=1.47 delta_e_f_ev_per_atom=0.05 pbc="T T T"
Ga 6.4996 3.7525 7.4849
Ga 2.1665 1.2508 1.6067
Np 0.0000 0.0000 0.0000
Al 4.3331 2.5017 4.5458
Zn 4.3331 2.5017 7.1523
Zn 2.1665 1.2508 5.7455
Zn 4.3331 2.5017 1.9392
Zn 6.4996 3.7525 3.3460

[4]
5
Lattice="4.2197 0.0000 1.7975 1.2217 5.1025 2.9838 -0.0773 0.1943 6.0330" Properties=species:S:1:pos:R:3 comment="InPb2Au2 (PBE, relaxed)" relative_energy_ev_per_atom=0.000 dft_energy_ev_per_atom=-3.436 spacegroup=Immm n_ef_per_ev_atom=0.34 delta_e_f_ev_per_atom=-0.09 pbc="T T T"
Au 5.0979 4.0525 8.5135
Au 0.2662 1.2444 2.3009
Pb 3.8918 4.1674 5.4930
Pb 1.4723 1.1295 5.3213
In 2.7207 2.5513 2.3906

[5]
10
Lattice="8.8094 -0.0002 0.0005 4.4037 6.7336 0.0050 -4.4037 -0.2280 6.7296" Properties=species:S:1:pos:R:3 comment="Sr3CaRh (PBE, relaxed)" relative_energy_ev_per_atom=0.003 dft_energy_ev_per_atom=-3.077 spacegroup=C2 n_ef_per_ev_atom=0.63 delta_e_f_ev_per_atom=-0.20 pbc="T T T"
Rh 0.8169 3.4245 5.8948
Rh 2.8444 0.1741 2.5258
Sr 6.6827 4.8523 4.5791
Sr 4.5252 5.6304 1.2330
Sr 5.7837 1.5694 1.1873
Sr 1.3835 5.5426 3.9117
Sr 2.2824 2.2668 0.5138
Sr 3.5410 2.1720 4.5739
Ca 7.9053 4.9870 0.5832
Ca 0.1608 1.5445 3.9080

[6]
4
Lattice="-1.3408 -3.4054 -1.0513 3.2669 -1.6220 1.0875 -2.1445 -0.7837 5.2734" Properties=species:S:1:pos:R:3 comment="Li2ZrTe (PBE, relaxed)" dft_energy_ev_per_atom=-4.135 e_form_raw_mev_per_atom=-256 spacegroup=P4/mmm n_ef_per_ev_atom=0.80 pbc="T T T"
Li -0.0413 -0.0151 0.1017
Li -1.0309 -0.3767 2.5350
Te 0.4269 -2.7096 1.3364
Zr -0.6453 -3.1014 3.9731

[7]
5
Lattice="-2.9481 2.1216 -1.9689 -1.1905 -3.4505 -1.9354 -6.9917 -2.1827 3.7823" Properties=species:S:1:pos:R:3 comment="Mg2SiSb2 (PBE, relaxed)" relative_energy_ev_per_atom=0.221 dft_energy_ev_per_atom=-3.019 e_form_raw_mev_per_atom=353 spacegroup=I4/mmm n_ef_per_ev_atom=0.76 pbc="T T T"
Si 0.0000 0.0000 0.0000
Mg -2.9939 -0.9496 -0.8751
Mg -8.1365 -2.5619 0.7531
Sb -5.1258 -3.1488 -0.0526
Sb -6.0046 -0.3627 -0.0694

[8]
10
Lattice="3.8017 -2.1949 0.0000 0.0000 4.3898 0.0000 0.0000 0.0000 14.7421" Properties=species:S:1:pos:R:3 comment="Mg3BiN (PBE, relaxed)" dft_energy_ev_per_atom=-2.925 e_form_raw_mev_per_atom=473 spacegroup=P6_3/mmc n_ef_per_ev_atom=0.14 pbc="T T T"
Mg 0.0000 0.0000 11.0566
Mg 2.5345 0.0000 0.8210
Mg 0.0000 0.0000 3.6855
Mg 1.2672 2.1949 13.9212
Mg 1.2672 2.1949 8.1920
Mg 2.5345 0.0000 6.5501
N 0.0000 0.0000 0.0000
N 0.0000 0.0000 7.3711
Bi 1.2672 2.1949 11.0566
Bi 2.5345 0.0000 3.6855

[9]
6
Lattice="-0.7306 -3.9538 10.7309 -4.0262 -4.4737 9.7516 2.7956 2.6211 -10.7997" Properties=species:S:1:pos:R:3 comment="CrNi2 (PBE, relaxed)" dft_energy_ev_per_atom=-6.938 spacegroup=I4_1/amd n_ef_per_ev_atom=1.26 delta_e_f_ev_per_atom=0.12 pbc="T T T"
Ni -2.0061 -3.5542 8.6382
Ni -2.1768 -3.6928 6.1997
Ni -2.7507 -4.8734 11.8444
Ni -1.4322 -2.3736 2.9935
Cr -0.1567 -2.7733 5.0862
Cr 0.0000 0.0000 0.0000

[10]
4
Lattice="6.7545 0.0984 0.0406 4.9619 4.5839 -0.0406 -5.8600 -2.3367 2.4156" Properties=species:S:1:pos:R:3 comment="Cu2SiBr (PBE, relaxed)" relative_energy_ev_per_atom=0.307 dft_energy_ev_per_atom=-3.590 e_form_raw_mev_per_atom=232 spacegroup=Imm2 n_ef_per_ev_atom=0.41 pbc="T T T"
Cu 0.1808 0.0722 0.0000
Cu 2.4653 -0.3127 1.2281
Si 6.2262 2.4882 0.0000
Br 2.8423 2.4389 1.1875

[11]
9
Lattice="-0.4174 -1.8517 2.5144 2.6007 -4.9138 -1.2133 4.9593 -0.0091 2.7904" Properties=species:S:1:pos:R:3 comment="CeTc2B6 (PBE, relaxed)" relative_energy_ev_per_atom=0.000 dft_energy_ev_per_atom=-7.937 spacegroup=Immm n_ef_per_ev_atom=0.33 delta_e_f_ev_per_atom=-0.52 pbc="T T T"
B 1.4730 -3.9915 1.2524
B 3.2086 -4.1413 1.4302
B 5.6696 -2.7830 2.8391
B 3.9339 -2.6332 2.6612
B 2.6189 -1.6086 3.1975
B 4.5236 -5.1660 0.8939
Ce 0.0000 0.0000 0.0000
Tc 2.4993 -1.9684 0.9390
Tc 4.6432 -4.8062 3.1524

[12]
4
Lattice="0.0000 3.1951 3.1951 3.1951 0.0000 3.1951 3.1951 3.1951 0.0000" Properties=species:S:1:pos:R:3 comment="CaRe2Tc (PBE, relaxed)" relative_energy_ev_per_atom=0.238 dft_energy_ev_per_atom=-8.615 spacegroup=Fm-3m n_ef_per_ev_atom=0.66 delta_e_f_ev_per_atom=0.70 pbc="T T T"
Tc 3.1951 3.1951 3.1951
Ca 0.0000 0.0000 0.0000
Re 1.5976 1.5976 1.5976
Re 4.7927 4.7927 4.7927